(1)
## LaPPt2 (PBEsol)

Data for a relaxed structure of LaPPt2.

N(E_F)   0.167 states/eV per atom
DFT total energy   -7.139 eV/atom
Space group   I-42d, No. 122
Calculated volume   22.84 Å³ per atom
E_form   -872.8 meV/atom
Mass density   10.18 g/cm3

abc: 4.9537 4.9537 14.8888
angles: 90.00 90.00 90.00
With the nearest neighbours (Å) after each atom.
Atoms (fractional coordinates):
La  0.0000  0.0000  0.0000  4 Pt 2.94
La  0.0000  0.5000  0.2500  4 Pt 2.94
La  0.5000  0.0000  0.7500  4 Pt 2.94
La  0.5000  0.5000  0.5000  4 Pt 2.94
P  0.0000  0.0000  0.5000  4 Pt 2.31
P  0.0000  0.5000  0.7500  4 Pt 2.31
P  0.5000  0.0000  0.2500  4 Pt 2.31
P  0.5000  0.5000  0.0000  4 Pt 2.31
Pt  0.1142  0.2500  0.6250  2 P 2.31
Pt  0.2500  0.6142  0.8750  2 P 2.31
Pt  0.2500  0.8858  0.3750  2 P 2.31
Pt  0.3858  0.2500  0.1250  2 P 2.31
Pt  0.6142  0.7500  0.1250  2 P 2.31
Pt  0.7500  0.1142  0.3750  2 P 2.31
Pt  0.7500  0.3858  0.8750  2 P 2.31
Pt  0.8858  0.7500  0.6250  2 P 2.31

***

(2)
## Y2CdRh2 (PBEsol)

Data for a relaxed structure of Y2CdRh2.

N(E_F)   0.669 states/eV per atom
DFT total energy   -6.628 eV/atom
Space group   I4/mmm, No. 139
Calculated volume   22.02 Å³ per atom
E_form   -404.4 meV/atom
Mass density   7.48 g/cm3

abc: 5.2373 5.2373 8.0276
angles: 90.00 90.00 90.00
With the nearest neighbours (Å) after each atom.
Atoms (fractional coordinates):
Y  0.0000  0.5000  0.2500  4 Rh 2.71
Y  0.0000  0.5000  0.7500  4 Rh 2.71
Y  0.5000  0.0000  0.2500  4 Rh 2.71
Y  0.5000  0.0000  0.7500  4 Rh 2.71
Cd  0.0000  0.0000  0.0000  2 Rh 2.72
Cd  0.5000  0.5000  0.5000  2 Rh 2.72
Rh  0.0000  0.0000  0.3391  1 Rh 2.58, 4 Y 2.71, 1 Cd 2.72
Rh  0.0000  0.0000  0.6609  1 Rh 2.58, 4 Y 2.71, 1 Cd 2.72
Rh  0.5000  0.5000  0.1609  1 Rh 2.58, 4 Y 2.71, 1 Cd 2.72
Rh  0.5000  0.5000  0.8391  1 Rh 2.58, 4 Y 2.71, 1 Cd 2.72

***

(3)
## PrDy3 (PBEsol)

Data for a relaxed structure of PrDy3.

N(E_F)   1.240 states/eV per atom
Energy relative to the lowest polymorph listed for this composition   0.000 eV/atom
DFT total energy   -5.015 eV/atom
Space group   Pm-3m, No. 221
Calculated volume   30.55 Å³ per atom
E_form   15.2 meV/atom
Mass density   8.54 g/cm3

abc: 4.9622 4.9622 4.9622
angles: 90.00 90.00 90.00
With the nearest neighbours (Å) after each atom.
Atoms (fractional coordinates):
Pr  0.0000  0.0000  0.0000  12 Dy 3.51
Dy  0.0000  0.5000  0.5000  8 Dy 3.51, 4 Pr 3.51
Dy  0.5000  0.0000  0.5000  8 Dy 3.51, 4 Pr 3.51
Dy  0.5000  0.5000  0.0000  8 Dy 3.51, 4 Pr 3.51

***

(4)
## Mg2ZrHg (PBEsol)

Data for a relaxed structure of Mg2ZrHg.

N(E_F)   0.665 states/eV per atom
DFT total energy   -3.398 eV/atom
Space group   P4/mmm, No. 123
Calculated volume   20.86 Å³ per atom
E_form   -125.2 meV/atom
Mass density   6.77 g/cm3

abc: 3.1589 3.1589 8.3627
angles: 90.00 90.00 90.00
With the nearest neighbours (Å) after each atom.
Atoms (fractional coordinates):
Mg  0.0000  0.0000  0.2335  4 Hg 2.97, 4 Zr 3.16, 4 Mg 3.16
Mg  0.0000  0.0000  0.7665  4 Hg 2.97, 4 Zr 3.16, 4 Mg 3.16
Zr  0.5000  0.5000  0.5000  8 Mg 3.16, 4 Zr 3.16
Hg  0.5000  0.5000  0.0000  8 Mg 2.97, 4 Hg 3.16